Record 1
The following is a PBE calculation of an optimized crystal structure of La3VTe, from Alexandria via LeMat-Bulk.

Unit cell a=5.346 b=5.346 c=5.346 alpha=90.00 beta=90.00 gamma=90.00
Space group Pm-3m (No. 221)
Inequivalent atoms, fractional coordinates:
La (0.000, 0.000, 0.500) [3 per cell]
V (0.000, 0.000, 0.000) [1 per cell]
Te (0.500, 0.500, 0.500) [1 per cell]

Output
Formation energy without anion corrections = -188 meV/atom
ρ = 6.47 Mg/m³
Fermi-level density of states = 0.97 states/eV per atom



Record 2
The following is a PBE calculation of an optimized crystal structure of Sr2YCr, from Alexandria via LeMat-Bulk.

Unit cell a=5.755 b=5.755 c=4.374 alpha=90.00 beta=90.00 gamma=90.00
Space group P4/mmm (No. 123)
Inequivalent atoms, fractional coordinates:
Sr (0.000, 0.500, 0.000) [2 per cell]
Y (0.000, 0.000, 0.500) [1 per cell]
Cr (0.500, 0.500, 0.500) [1 per cell]

Output
Energy above the lowest structure with this stoichiometry = 233.0 meV per atom
ρ = 3.62 Mg/m³
Fermi-level density of states = 0.98 states/eV per atom
E_form = 0.58 eV per atom



Record 3
The following is a PBE calculation of an optimized crystal structure of TiSb2PbI, from Alexandria via LeMat-Bulk.

Unit cell a=5.712 b=5.712 c=5.823 alpha=90.00 beta=90.00 gamma=90.00
Space group P4/mmm (No. 123)
Inequivalent atoms, fractional coordinates:
Ti (0.000, 0.000, 0.000) [1 per cell]
Sb (0.000, 0.500, 0.500) [2 per cell]
Pb (0.500, 0.500, 0.000) [1 per cell]
I (0.500, 0.500, 0.500) [1 per cell]

Output
Formation energy without anion corrections = 1344 meV/atom
Energy above the lowest structure with this stoichiometry = 1245.1 meV per atom
ρ = 5.47 Mg/m³
Fermi-level density of states = 1.35 states/eV per atom



Record 4
The following is a PBE calculation of an optimized crystal structure of CrCd2Ni, from Alexandria via LeMat-Bulk.

Unit cell a=5.811 b=7.726 c=3.024 alpha=90.00 beta=90.00 gamma=90.00
Space group Cmmm (No. 65)
Inequivalent atoms, fractional coordinates:
Cr (0.000, 0.000, 0.000) [2 per cell]
Cd (0.250, 0.250, 0.500) [4 per cell]
Ni (0.000, 0.500, 0.000) [2 per cell]

Output
Energy above the lowest structure with this stoichiometry = 112.2 meV per atom
ρ = 8.21 Mg/m³
Fermi-level density of states = 0.44 states/eV per atom
E_form = 0.32 eV per atom



Record 5
The following is a PBE calculation of an optimized crystal structure of Ca2TaPb, from Alexandria via LeMat-Bulk.

Unit cell a=3.291 b=4.852 c=6.624 alpha=90.00 beta=90.00 gamma=90.00
Space group Pmmm (No. 47)
Inequivalent atoms, fractional coordinates:
Ca (0.000, 0.000, 0.245) [2 per cell]
Ta (0.500, 0.500, 0.000) [1 per cell]
Pb (0.500, 0.500, 0.500) [1 per cell]

Output
ρ = 7.35 Mg/m³
Fermi-level density of states = 0.98 states/eV per atom
E_form = 0.37 eV per atom



Record 6
The following is a PBE calculation of an optimized crystal structure of SmHo2Sc5, from Alexandria via LeMat-Bulk.

Unit cell a=6.801 b=6.801 c=9.338 alpha=90.00 beta=90.00 gamma=90.00
Space group I4/mmm (No. 139)
Inequivalent atoms, fractional coordinates:
Sm (0.000, 0.000, 0.000) [2 per cell]
Ho (0.000, 0.500, 0.000) [4 per cell]
Sc (0.000, 0.000, 0.500) [2 per cell]
Sc (0.250, 0.250, 0.250) [8 per cell]

Output
Energy above the lowest structure with this stoichiometry = 33.0 meV per atom
ρ = 5.42 Mg/m³
Fermi-level density of states = 1.80 states/eV per atom
E_form = 0.06 eV per atom



Record 7
The following is a PBE calculation of an optimized crystal structure of TbEr3, from Alexandria via LeMat-Bulk.

Unit cell a=3.594 b=5.562 c=6.222 alpha=90.00 beta=90.00 gamma=90.00
Space group Pmm2 (No. 25)
Inequivalent atoms, fractional coordinates:
Tb (0.000, 0.000, 0.000) [1 per cell]
Er (0.000, 0.500, 0.665) [1 per cell]
Er (0.500, 0.000, 0.499) [1 per cell]
Er (0.500, 0.500, 0.166) [1 per cell]

Output
Energy above the lowest structure with this stoichiometry = 0.0 meV per atom
ρ = 8.82 Mg/m³
Fermi-level density of states = 1.59 states/eV per atom
E_form = 0.00 eV per atom



Record 8
The following is a PBE calculation of an optimized crystal structure of SrCoReBi2, from Alexandria via LeMat-Bulk.

Unit cell a=5.250 b=5.250 c=6.014 alpha=90.00 beta=90.00 gamma=90.00
Space group P4/mmm (No. 123)
Inequivalent atoms, fractional coordinates:
Sr (0.000, 0.000, 0.000) [1 per cell]
Co (0.500, 0.500, 0.000) [1 per cell]
Re (0.000, 0.000, 0.500) [1 per cell]
Bi (0.000, 0.500, 0.500) [2 per cell]

Output
ρ = 7.52 Mg/m³
Fermi-level density of states = 2.28 states/eV per atom
E_form = 1.06 eV per atom